6
Lattice="4.023 0.000 0.000 0.000 3.987 2.966 0.000 -3.987 2.966" Properties=species:S:1:pos:R:3 comment="VGe (GGA-PBE, relaxed)" volume_a3_per_cell=95.1 sg=Amm2 e_tot_ev_per_cell=-41.3 ef_mev_per_atom=-13.2 pbc="T T T"
V 0.000 0.000 0.000
V 2.012 -2.486 2.714
V 2.012 2.486 2.714
Ge 0.000 -1.434 3.899
Ge 0.000 1.434 3.899
Ge 2.012 0.000 1.899